Entry a
Compound: CaNbW2
Source: Alexandria via LeMat-Bulk
Functional: GGA-PBE
Structure: relaxed

POSCAR file:
```
CaNbW2
1.0
6.688 0.000 0.000
0.000 6.688 0.000
0.000 0.000 6.688
Ca Nb W
4 4 8
Direct
0.000 0.000 0.000
0.000 0.500 0.500
0.500 0.000 0.500
0.500 0.500 0.000
0.000 0.000 0.500
0.000 0.500 0.000
0.500 0.000 0.000
0.500 0.500 0.500
0.250 0.250 0.250
0.250 0.250 0.750
0.250 0.750 0.250
0.250 0.750 0.750
0.750 0.250 0.250
0.750 0.250 0.750
0.750 0.750 0.250
0.750 0.750 0.750
```

space-group type = Fm-3m, No. 225
ρ = 11.117 g/cm3

=====

Entry b
Compound: CaNbW2
Source: Alexandria via LeMat-Bulk
Functional: GGA-PBE
Structure: relaxed

POSCAR file:
```
CaNbW2
1.0
7.652 0.000 0.000
0.000 7.652 0.000
0.000 0.000 5.679
Ca Nb W
4 4 8
Direct
0.000 0.000 0.000
0.000 0.500 0.250
0.500 0.000 0.750
0.500 0.500 0.500
0.000 0.000 0.500
0.000 0.500 0.750
0.500 0.000 0.250
0.500 0.500 0.000
0.214 0.750 0.625
0.250 0.214 0.375
0.250 0.286 0.875
0.286 0.750 0.125
0.714 0.250 0.125
0.750 0.714 0.875
0.750 0.786 0.375
0.786 0.250 0.625
```

space-group type = I-42d, No. 122
ρ = 10.000 g/cm3

=====

Relative to the most stable one, in meV/atom, the structures come out at entry a 0; entry b 432.